VASP calculation (PBE) on a geometry-optimized Dy3TaB7 structure.

Lattice parameters (Å, degrees): 8.226 8.226 9.570 90.00 90.00 155.37
Element x y z (fractional)
Dy  0.108  0.892  0.560
Dy  0.108  0.892  0.940
Dy  0.245  0.755  0.250
Dy  0.755  0.245  0.750
Dy  0.892  0.108  0.060
Dy  0.892  0.108  0.440
Ta  0.053  0.947  0.250
Ta  0.947  0.053  0.750
B  0.273  0.727  0.532
B  0.273  0.727  0.968
B  0.365  0.635  0.645
B  0.365  0.635  0.855
B  0.455  0.545  0.250
B  0.480  0.520  0.591
B  0.480  0.520  0.909
B  0.520  0.480  0.091
B  0.520  0.480  0.409
B  0.545  0.455  0.750
B  0.635  0.365  0.145
B  0.635  0.365  0.355
B  0.727  0.273  0.032
B  0.727  0.273  0.468

The value obtained for the volume is 12.27 Å³ per atom. The calculation puts the formation enthalpy at 0 K at -6.59 eV per formula unit. The value obtained for the spin magnetization is 0.0 μB per formula unit.


VASP calculation (PBE) on a geometry-optimized DyTaB4 structure.

Lattice parameters (Å, degrees): 6.162 11.917 3.592 90.00 90.00 90.00
Element x y z (fractional)
Dy  0.126  0.151  0.000
Dy  0.374  0.651  0.000
Dy  0.626  0.349  0.000
Dy  0.874  0.849  0.000
Ta  0.135  0.413  0.000
Ta  0.365  0.913  0.000
Ta  0.635  0.087  0.000
Ta  0.865  0.587  0.000
B  0.023  0.694  0.500
B  0.117  0.549  0.500
B  0.131  0.969  0.500
B  0.206  0.812  0.500
B  0.294  0.312  0.500
B  0.369  0.469  0.500
B  0.383  0.049  0.500
B  0.477  0.194  0.500
B  0.523  0.806  0.500
B  0.617  0.951  0.500
B  0.631  0.531  0.500
B  0.706  0.688  0.500
B  0.794  0.188  0.500
B  0.869  0.031  0.500
B  0.883  0.451  0.500
B  0.977  0.306  0.500

The value obtained for the volume is 10.99 Å³ per atom. The calculation puts the formation enthalpy at 0 K at -3.80 eV per formula unit. The value obtained for the spin magnetization is 0.0 μB per formula unit.


VASP calculation (PBE) on a geometry-optimized DyTaB structure.

Lattice parameters (Å, degrees): 4.094 4.094 7.024 96.80 96.80 81.20
Element x y z (fractional)
Dy  0.224  0.224  0.341
Dy  0.776  0.776  0.659
Ta  0.294  0.294  0.878
Ta  0.706  0.706  0.122
B  0.159  0.841  0.000
B  0.841  0.159  0.000

The value obtained for the volume is 19.15 Å³ per atom. The calculation puts the formation enthalpy at 0 K at -0.23 eV per formula unit. The value obtained for the spin magnetization is 0.0 μB per formula unit.


VASP calculation (PBE) on a geometry-optimized DyTaB2 structure.

Lattice parameters (Å, degrees): 6.174 6.174 6.174 32.39 32.39 32.39
Element x y z (fractional)
Dy  0.000  0.000  0.000
Ta  0.500  0.500  0.500
B  0.235  0.235  0.235
B  0.765  0.765  0.765

The value obtained for the volume is 15.01 Å³ per atom. The calculation puts the formation enthalpy at 0 K at -0.67 eV per formula unit. The value obtained for the spin magnetization is 0.0 μB per formula unit.


Please write out number 1 again, unchanged.
VASP calculation (PBE) on a geometry-optimized Dy3TaB7 structure.

Lattice parameters (Å, degrees): 8.226 8.226 9.570 90.00 90.00 155.37
Element x y z (fractional)
Dy  0.108  0.892  0.560
Dy  0.108  0.892  0.940
Dy  0.245  0.755  0.250
Dy  0.755  0.245  0.750
Dy  0.892  0.108  0.060
Dy  0.892  0.108  0.440
Ta  0.053  0.947  0.250
Ta  0.947  0.053  0.750
B  0.273  0.727  0.532
B  0.273  0.727  0.968
B  0.365  0.635  0.645
B  0.365  0.635  0.855
B  0.455  0.545  0.250
B  0.480  0.520  0.591
B  0.480  0.520  0.909
B  0.520  0.480  0.091
B  0.520  0.480  0.409
B  0.545  0.455  0.750
B  0.635  0.365  0.145
B  0.635  0.365  0.355
B  0.727  0.273  0.032
B  0.727  0.273  0.468

The value obtained for the volume is 12.27 Å³ per atom. The calculation puts the formation enthalpy at 0 K at -6.59 eV per formula unit. The value obtained for the spin magnetization is 0.0 μB per formula unit.


Q: formation enthalpy at 0 K of number 1 (Dy3TaB7)?
A: -6.59 eV per formula unit


Q: Number 4 is which compound?
A: DyTaB2


Q: Which of these has the lowest formation enthalpy at 0 K?
A: Dy3TaB7